1.
DFT (GGA-PBE) results for a relaxed structure of RbYAg2F6.

It has space group P1 (No. 1), with a = 6.348 Å, b = 6.357 Å, c = 6.605 Å, α = 90.04°, β = 118.68° and γ = 119.90°. The inequivalent atoms are Rb at (0.000, 0.000, 0.000), Y at (0.978, 0.489, 0.466), Ag at (0.552, 0.276, 0.828), Ag at (0.562, 0.782, 0.344), F at (0.081, 0.434, 0.201), F at (0.097, 0.244, 0.655), F at (0.412, 0.853, 0.654), F at (0.557, 0.123, 0.202), F at (0.769, 0.648, 0.203) and F at (0.804, 0.559, 0.657).


2.
DFT (GGA-PBE) results for a relaxed structure of RbY2AgF.

It has space group P4/mmm (No. 123), with a = 5.442 Å, b = 5.442 Å, c = 7.303 Å, α = 90.00°, β = 90.00° and γ = 90.00°. The inequivalent atoms are Rb at (0.000, 0.000, 0.000), Y at (0.000, 0.500, 0.500), Ag at (0.000, 0.000, 0.500) and F at (0.500, 0.500, 0.000).


3.
DFT (GGA-PBE) results for a relaxed structure of RbYAgF6.

It has space group Imma (No. 74), with a = 7.819 Å, b = 8.310 Å, c = 12.128 Å, α = 90.00°, β = 90.00° and γ = 90.00°. The inequivalent atoms are Rb at (0.000, 0.250, 0.033), Y at (0.000, 0.000, 0.500), Ag at (0.250, 0.250, 0.750), F at (0.000, 0.250, 0.437), F at (0.000, 0.250, 0.799) and F at (0.215, 0.062, 0.608).


4.
DFT (GGA-PBE) results for a relaxed structure of RbYAgF5.

It has space group C2/c (No. 15), with a = 7.302 Å, b = 11.153 Å, c = 8.417 Å, α = 90.00°, β = 106.60° and γ = 90.00°. The inequivalent atoms are Rb at (0.000, 0.163, 0.250), Y at (0.000, 0.500, 0.000), Ag at (0.000, 0.174, 0.750), F at (0.000, 0.437, 0.250), F at (0.093, 0.319, 0.585) and F at (0.198, 0.047, 0.946).


5.
DFT (GGA-PBE) results for a relaxed structure of Rb2YAgF6.

It has space group Fm-3m (No. 225), with a = 9.271 Å, b = 9.271 Å, c = 9.271 Å, α = 90.00°, β = 90.00° and γ = 90.00°. The inequivalent atoms are Rb at (0.250, 0.250, 0.250), Y at (0.000, 0.000, 0.000), Ag at (0.000, 0.000, 0.500) and F at (0.000, 0.000, 0.235).


6.
DFT (GGA-PBE) results for a relaxed structure of Rb2ZnAgF6.

It has space group I4/mmm (No. 139), with a = 6.035 Å, b = 6.035 Å, c = 9.017 Å, α = 90.00°, β = 90.00° and γ = 90.00°. The inequivalent atoms are Rb at (0.000, 0.500, 0.250), Zn at (0.000, 0.000, 0.000), Ag at (0.000, 0.000, 0.500), F at (0.000, 0.000, 0.218) and F at (0.246, 0.246, 0.000).


Values of raw total energy, in order: -50.02; -18.99; -186.09; -173.96; -207.53; -78.31, all in eV/cell.
Values of ρ, in order: 4.4; 3.0; 3.3; 3.8; 4.0; 4.6, all in Mg/m³.